A relaxed structure of Ti5SnS. Source: Alexandria, functional GGA-PBE.

## Properties
Total moment = 0.0 μB/f.u.
Formation energy without anion corrections = -417 meV per atom
Calculated density = 5.27 g cm⁻³
SG = Immm

abc: 5.793 5.793 9.507
angles: 65.79 65.79 61.25
Atoms (fractional coordinates):
Ti (0.453, 0.940, 0.902)
Ti (0.940, 0.453, 0.902)
Ti (0.547, 0.060, 0.598)
Ti (0.060, 0.547, 0.098)
Ti (0.547, 0.060, 0.098)
S (0.000, 0.000, 0.500)
Ti (0.940, 0.453, 0.402)
S (0.000, 0.000, 0.000)
Ti (0.060, 0.547, 0.598)
Sn (0.500, 0.500, 0.250)
Ti (0.453, 0.940, 0.402)
Ti (0.000, 0.000, 0.750)
Ti (0.000, 0.000, 0.250)
Sn (0.500, 0.500, 0.750)


A relaxed structure of TiSn2S4. Source: Alexandria, functional GGA-PBE.

## Properties
Total moment = 0.0 μB/f.u.
Formation energy without anion corrections = -579 meV per atom
Calculated density = 4.29 g cm⁻³
SG = I4/mmm
Polymorph energy (0 for the lowest one) = 0.047 eV per atom

abc: 4.646 4.646 8.109
angles: 73.35 73.35 90.00
Atoms (fractional coordinates):
Ti (0.000, 0.000, 0.000)
S (0.000, 0.500, 0.000)
S (0.170, 0.170, 0.661)
Sn (0.648, 0.648, 0.705)
S (0.500, 0.000, 0.000)
S (0.830, 0.830, 0.339)
Sn (0.352, 0.352, 0.295)


A relaxed structure of Ti5Sn3S12. Source: Alexandria, functional GGA-PBE.

## Properties
Total moment = 2.1 μB/f.u.
Formation energy without anion corrections = -919 meV per atom
Calculated density = 3.58 g cm⁻³
SG = Ia-3d

abc: 13.317 13.317 13.317
angles: 109.47 109.47 109.47
Last column: magnetic moment on the atom in μB.
Atoms (fractional coordinates):
Ti (0.250, 0.875, 0.125)  0.20
S (0.821, 0.916, 0.297)  -0.02
Sn (0.125, 0.875, 0.750)  0.00
Sn (0.750, 0.375, 0.125)  0.00
S (0.584, 0.703, 0.679)  -0.02
Ti (0.000, 0.000, 0.000)  0.68
S (0.405, 0.382, 0.584)  -0.02
S (0.797, 0.477, 0.382)  -0.02
S (0.382, 0.977, 0.797)  -0.02
S (0.523, 0.321, 0.905)  -0.02
S (0.023, 0.618, 0.703)  -0.02
S (0.584, 0.882, 0.405)  -0.02
S (0.977, 0.595, 0.179)  -0.02
Ti (0.625, 0.750, 0.875)  0.20
Ti (0.125, 0.375, 0.250)  0.20
S (0.679, 0.477, 0.595)  -0.02
S (0.905, 0.821, 0.523)  -0.02
S (0.084, 0.179, 0.203)  -0.02
S (0.297, 0.416, 0.821)  -0.02
Ti (0.000, 0.000, 0.500)  0.68
Ti (0.500, 0.500, 0.000)  0.68
S (0.179, 0.095, 0.977)  -0.02
Ti (0.625, 0.875, 0.250)  0.20
Sn (0.375, 0.625, 0.250)  0.00
S (0.405, 0.023, 0.321)  -0.02
S (0.882, 0.584, 0.905)  -0.02
S (0.905, 0.084, 0.882)  -0.02
S (0.477, 0.679, 0.095)  -0.02
S (0.821, 0.905, 0.023)  -0.02
Ti (0.000, 0.500, 0.500)  0.68
Ti (0.125, 0.750, 0.375)  0.20
S (0.203, 0.523, 0.618)  -0.02
S (0.382, 0.405, 0.084)  -0.02
Ti (0.375, 0.250, 0.125)  0.20
Ti (0.250, 0.375, 0.625)  0.20
S (0.095, 0.916, 0.118)  -0.02
S (0.477, 0.797, 0.882)  -0.02
S (0.321, 0.797, 0.416)  -0.02
S (0.321, 0.523, 0.405)  -0.02
Sn (0.250, 0.625, 0.875)  0.00
S (0.679, 0.203, 0.584)  -0.02
S (0.618, 0.595, 0.916)  -0.02
S (0.523, 0.203, 0.118)  -0.02
Ti (0.000, 0.500, 0.000)  0.68
S (0.297, 0.882, 0.977)  -0.02
Sn (0.375, 0.750, 0.625)  0.00
Sn (0.875, 0.125, 0.250)  0.00
Ti (0.500, 0.500, 0.500)  0.68
Ti (0.875, 0.250, 0.625)  0.20
S (0.703, 0.584, 0.179)  -0.02
S (0.118, 0.416, 0.095)  -0.02
Sn (0.125, 0.250, 0.875)  0.00
Ti (0.500, 0.000, 0.500)  0.68
S (0.595, 0.977, 0.679)  -0.02
S (0.118, 0.703, 0.523)  -0.02
S (0.416, 0.118, 0.595)  -0.02
S (0.797, 0.321, 0.916)  -0.02
S (0.882, 0.297, 0.477)  -0.02
S (0.023, 0.405, 0.821)  -0.02
S (0.179, 0.084, 0.703)  -0.02
S (0.916, 0.821, 0.797)  -0.02
S (0.084, 0.905, 0.382)  -0.02
S (0.703, 0.118, 0.023)  -0.02
Sn (0.875, 0.750, 0.125)  0.00
Ti (0.875, 0.625, 0.750)  0.20
Ti (0.750, 0.625, 0.375)  0.20
Ti (0.375, 0.125, 0.750)  0.20
Sn (0.625, 0.375, 0.750)  0.00
Sn (0.625, 0.250, 0.375)  0.00
S (0.595, 0.618, 0.416)  -0.02
S (0.095, 0.179, 0.477)  -0.02
S (0.416, 0.297, 0.321)  -0.02
Ti (0.500, 0.000, 0.000)  0.68
Sn (0.250, 0.125, 0.375)  0.00
Ti (0.750, 0.125, 0.875)  0.20
S (0.916, 0.095, 0.618)  -0.02
Sn (0.750, 0.875, 0.625)  0.00
S (0.977, 0.382, 0.297)  -0.02
S (0.203, 0.679, 0.084)  -0.02
S (0.618, 0.023, 0.203)  -0.02